VASP calculation (PBE) on a relaxed VTeOs2W crystal.

Results
* space-group type: P4/mmm
* V: 96 Å³/cell
* calculated total energy: -39.34 eV for the cell shown

Structure (POSCAR):
```
VTeOs2W
1.0
-3.723 2.543 0.607
-0.044 -1.135 4.483
2.614 3.603 0.938
Te Os W V
1 2 1 1
Direct
0.500 0.500 0.500
0.000 0.000 0.500
0.500 0.000 0.000
0.000 0.500 0.000
0.000 0.000 0.000
```


VASP calculation (PBE) on a relaxed YVTeOs2 crystal.

Results
* space-group type: P4/mmm
* V: 131 Å³/cell
* calculated total energy: -28.82 eV for the cell shown

Structure (POSCAR):
```
YVTeOs2
1.0
-3.290 -3.306 -1.428
2.644 -3.870 2.868
-2.731 1.030 3.908
Y Te Os V
1 1 2 1
Direct
0.000 0.000 0.000
0.000 0.500 0.000
0.000 0.000 0.500
0.500 0.000 0.000
0.500 0.500 0.500
```


VASP calculation (PBE) on a relaxed ZrVTe2Os crystal.

Results
* space-group type: P4/mmm
* V: 115 Å³/cell
* calculated total energy: -29.34 eV for the cell shown

Structure (POSCAR):
```
ZrVTe2Os
1.0
-3.453 -2.586 -2.426
-0.232 -3.038 3.569
-3.537 2.746 2.108
Te Os Zr V
2 1 1 1
Direct
0.000 0.000 0.500
0.500 0.000 0.000
0.500 0.500 0.500
0.000 0.500 0.000
0.000 0.000 0.000
```


Copy entry 2 word for word.
VASP calculation (PBE) on a relaxed YVTeOs2 crystal.

Results
* space-group type: P4/mmm
* V: 131 Å³/cell
* calculated total energy: -28.82 eV for the cell shown

Structure (POSCAR):
```
YVTeOs2
1.0
-3.290 -3.306 -1.428
2.644 -3.870 2.868
-2.731 1.030 3.908
Y Te Os V
1 1 2 1
Direct
0.000 0.000 0.000
0.000 0.500 0.000
0.000 0.000 0.500
0.500 0.000 0.000
0.500 0.500 0.500
```